Record 1
Compound: TlSe
Source: Alexandria
Functional: GGA-PBE
Structure: optimized geometry

Symmetry = Cmme, No. 67

a = 3.284 Å, b = 3.284 Å, c = 11.794 Å
α = 90.00°, β = 90.00°, γ = 90.21°
Element x y z (fractional)
Se 0.000 0.000 0.035
Se 0.500 0.500 0.715
Tl 0.000 0.000 0.536
Tl 0.500 0.500 0.214



Record 2
Compound: TlSe3
Source: Alexandria
Functional: GGA-PBE
Structure: optimized geometry

Symmetry = Pmm2, No. 25

a = 3.823 Å, b = 3.852 Å, c = 7.836 Å
α = 90.00°, β = 90.00°, γ = 90.00°
Element x y z (fractional)
Se 0.000 0.000 0.933
Se 0.500 0.000 0.444
Se 0.500 0.500 0.960
Tl 0.000 0.500 0.329



Record 3
Compound: TlSe
Source: Alexandria
Functional: GGA-PBE
Structure: optimized geometry

Symmetry = P4/mmm, No. 123

a = 3.429 Å, b = 3.429 Å, c = 4.712 Å
α = 90.00°, β = 90.00°, γ = 90.00°
Element x y z (fractional)
Se 0.000 0.000 0.000
Tl 0.500 0.500 0.500



Record 4
Compound: TlSe3
Source: Alexandria
Functional: GGA-PBE
Structure: optimized geometry

Symmetry = Pm-3m, No. 221

a = 4.592 Å, b = 4.592 Å, c = 4.592 Å
α = 90.00°, β = 90.00°, γ = 90.00°
Element x y z (fractional)
Se 0.000 0.500 0.500
Se 0.500 0.000 0.500
Se 0.500 0.500 0.000
Tl 0.000 0.000 0.000



Record 5
Compound: TlSe
Source: Alexandria
Functional: GGA-PBE
Structure: optimized geometry

Symmetry = P6_3mc, No. 186

a = 4.434 Å, b = 4.434 Å, c = 8.548 Å
α = 90.00°, β = 90.00°, γ = 120.00°
Element x y z (fractional)
Tl 0.333 0.667 0.713
Tl 0.667 0.333 0.213
Se 0.333 0.667 0.369
Se 0.667 0.333 0.869



Record 6
Compound: Tl5Se4
Source: Alexandria
Functional: GGA-PBE
Structure: optimized geometry

Symmetry = P6_3/mcm, No. 193
Polymorph energy (0 for the lowest one) = 29 meV per atom

a = 8.591 Å, b = 8.591 Å, c = 8.458 Å
α = 90.00°, β = 90.00°, γ = 120.00°
Element x y z (fractional)
Se 0.000 0.000 0.000
Se 0.000 0.000 0.500
Se 0.000 0.411 0.250
Se 0.589 0.589 0.250
Se 0.411 0.000 0.250
Se 0.000 0.589 0.750
Se 0.411 0.411 0.750
Se 0.589 0.000 0.750
Tl 0.000 0.748 0.250
Tl 0.252 0.252 0.250
Tl 0.748 0.000 0.250
Tl 0.000 0.252 0.750
Tl 0.748 0.748 0.750
Tl 0.252 0.000 0.750
Tl 0.667 0.333 0.000
Tl 0.333 0.667 0.500
Tl 0.333 0.667 0.000
Tl 0.667 0.333 0.500



It is found that the raw formation energy values, taken in the order of the records, are 0.066 0.065 -0.024 0.421 -0.180 -0.243 eV per atom.
It is found that the E values, taken in the order of the records, are -11.4 -12.6 -5.9 -11.1 -12.4 -55.9 eV for the cell shown.